{"formula": "Sn2CBr", "functional": "GGA-PBE", "state": "relaxed", "lattice_angstrom": [[7.0791, 0.0000, 0.0000], [0.0000, 7.0791, 0.0000], [3.5395, 3.5395, 3.9427]], "species": ["Sn", "Sn", "Sn", "Sn", "C", "C", "Br", "Br"], "fractional_positions": [[0.8750, 0.7727, 0.7500], [0.3750, 0.4773, 0.7500], [0.5227, 0.1250, 0.2500], [0.2273, 0.6250, 0.2500], [0.2500, 0.7500, 0.5000], [0.5000, 0.5000, 0.0000], [0.7500, 0.2500, 0.5000], [0.0000, 0.0000, 0.0000]], "crystal_system": "tetragonal", "energy_ev_per_atom": -4.121, "spacegroup": "No. 122", "formation_energy_uncorrected_kj_per_mol_atoms": 58.4, "dos_ef_per_ev_cell": 4.609, "vol_a3_per_fu": 98.79, "e_above_lowest_polymorph_mev_per_atom": 0.0}

{"formula": "SnCBr2", "functional": "GGA-PBE", "state": "relaxed", "lattice_angstrom": [[0.9583, -8.1473, 4.2883], [0.0786, -9.1973, 1.0434], [3.4290, -8.4094, 1.7917]], "species": ["Sn", "C", "Br", "Br"], "fractional_positions": [[0.0000, 0.0000, 0.0000], [0.5000, 0.5000, 0.5000], [0.8864, 0.8864, 0.8864], [0.1136, 0.1136, 0.1136]], "crystal_system": "trigonal", "energy_ev_per_atom": -2.902, "spacegroup": "No. 166", "formation_energy_uncorrected_kj_per_mol_atoms": 119.7, "dos_ef_per_ev_cell": 1.699, "vol_a3_per_fu": 97.02, "e_above_lowest_polymorph_mev_per_atom": 0.0}

{"formula": "SrSn2CBr", "functional": "GGA-PBE", "state": "relaxed", "lattice_angstrom": [[-5.1739, 1.2908, -1.9531], [1.1323, -1.7453, -4.1529], [-1.8879, -5.1021, 1.6294]], "species": ["Sn", "Sn", "Br", "Sr", "C"], "fractional_positions": [[0.0000, 0.0000, 0.5000], [0.5000, 0.0000, 0.0000], [0.0000, 0.0000, 0.0000], [0.5000, 0.5000, 0.5000], [0.0000, 0.5000, 0.0000]], "crystal_system": "tetragonal", "energy_ev_per_atom": -3.002, "spacegroup": "No. 123", "formation_energy_uncorrected_kj_per_mol_atoms": 107.6, "dos_ef_per_ev_cell": 3.213, "vol_a3_per_fu": 149.80}

{"formula": "SnWCBr2", "functional": "GGA-PBE", "state": "relaxed", "lattice_angstrom": [[5.0840, 0.0000, 0.0000], [0.0000, 4.1092, 0.0000], [0.0000, 0.0000, 5.0840]], "species": ["Br", "Br", "C", "Sn", "W"], "fractional_positions": [[0.0000, 0.0000, 0.5000], [0.5000, 0.0000, 0.0000], [0.0000, 0.0000, 0.0000], [0.5000, 0.5000, 0.5000], [0.0000, 0.5000, 0.0000]], "crystal_system": "tetragonal", "energy_ev_per_atom": -4.555, "spacegroup": "No. 123", "formation_energy_uncorrected_kj_per_mol_atoms": 130.2, "dos_ef_per_ev_cell": 3.303, "vol_a3_per_fu": 106.21}